## Li2ZrFe (PBE-GGA)

Data for a relaxed structure of Li2ZrFe.

Values from the calculation:
The calculated total energy comes out at -4.88 eV/atom. As for the excess energy over the best structure of this formula in the dataset: 152 meV/atom. The space group is I-42d.

Cell lengths 3.5756, 3.5756, 10.7077 Å; angles 80.39, 80.39, 90.00 degrees
Last column: nearest neighbours and their distance in Å.
Fractional positions:
Li: 0.3750 0.4073 0.7500  2 Li 2.37
Li: 0.5927 0.1250 0.2500  2 Li 2.37
Li: 0.8750 0.8427 0.7500  2 Li 2.37
Li: 0.1573 0.6250 0.2500  2 Li 2.37
Fe: 0.5000 0.5000 0.0000  4 Zr 2.53
Fe: 0.2500 0.7500 0.5000  4 Zr 2.53
Zr: 0.7500 0.2500 0.5000  4 Fe 2.53
Zr: 0.0000 0.0000 0.0000  4 Fe 2.53